A plane-wave DFT calculation with PBE+U was carried out for crystalline Ba3VB2O8 at its relaxed geometry.

a = 5.3684 Å, b = 5.3684 Å, c = 7.2550 Å
α = 90.00°, β = 90.00°, γ = 120.00°
Last column: nearest neighbours and their distance in Å.
Element x y z (fractional)
O 0.8232 0.1768 0.6562  1 B 1.55
O 0.1768 0.3535 0.3438  1 B 1.55
O 0.6465 0.8232 0.3438  1 B 1.55
O 0.6667 0.3333 0.9256  1 B 1.41
O 0.3535 0.1768 0.6562  1 B 1.55
O 0.8232 0.6465 0.6562  1 B 1.55
O 0.3333 0.6667 0.0744  1 B 1.41
O 0.1768 0.8232 0.3438  1 B 1.55
Ba 0.0000 0.0000 0.0000  12 O 2.99-3.15
Ba 0.3333 0.6667 0.7122  7 O 2.63-2.72
Ba 0.6667 0.3333 0.2878  7 O 2.63-2.72
B 0.6667 0.3333 0.7313  4 O 1.41-1.55
B 0.3333 0.6667 0.2687  4 O 1.41-1.55
V 0.0000 0.0000 0.5000  6 O 2.00

Output
**Space group**: P-3m1 (164)
**Spin magnetization**: 0.07 μB per atom
**DFT total energy**: -100.9 eV/cell